#w
{"formula": "Sr2SnMo2", "functional": "PBE", "state": "optimized geometry", "cell": [[4.891, 0.000, 0.000], [0.000, 4.891, 0.000], [2.446, 2.446, 6.671]], "species": ["Sr", "Sr", "Mo", "Mo", "Sn"], "fractional_positions": [[0.750, 0.250, 0.500], [0.250, 0.750, 0.500], [0.424, 0.424, 0.152], [0.576, 0.576, 0.848], [0.000, 0.000, 0.000]], "mass_density_kg_m3": 5054, "space_group": "No. 139"}

---

#x
{"formula": "Sr2SnMo2", "functional": "PBE", "state": "optimized geometry", "cell": [[-4.738, 5.263, -1.532], [0.149, -1.900, -6.991], [-3.957, -3.324, 0.819]], "species": ["Sn", "Sn", "Mo", "Mo", "Mo", "Mo", "Sr", "Sr", "Sr", "Sr"], "fractional_positions": [[0.500, 0.500, 0.000], [0.000, 0.000, 0.000], [0.892, 0.608, 0.000], [0.392, 0.892, 0.000], [0.608, 0.108, 0.000], [0.108, 0.392, 0.000], [0.319, 0.181, 0.500], [0.181, 0.681, 0.500], [0.681, 0.819, 0.500], [0.819, 0.319, 0.500]], "mass_density_kg_m3": 5874, "space_group": "No. 127"}

---

Stability check: which of them is most stable? #x.

---

#w
{"formula": "SrSn2Mo", "functional": "PBE", "state": "optimized geometry", "cell": [[-4.368, 0.794, 3.473], [3.372, -0.850, 4.436], [1.306, 8.632, 4.243]], "species": ["Sr", "Sr", "Mo", "Mo", "Sn", "Sn", "Sn", "Sn"], "fractional_positions": [[0.500, 0.500, 0.000], [0.250, 0.750, 0.500], [0.000, 0.000, 0.000], [0.750, 0.250, 0.500], [0.375, 0.205, 0.750], [0.955, 0.625, 0.250], [0.875, 0.045, 0.750], [0.795, 0.125, 0.250]], "mass_density_kg_m3": 4972, "space_group": "No. 122"}

---

#x
{"formula": "SrSn2Mo", "functional": "PBE", "state": "optimized geometry", "cell": [[0.000, 3.643, 3.643], [3.643, 0.000, 3.643], [3.643, 3.643, 0.000]], "species": ["Sr", "Mo", "Sn", "Sn"], "fractional_positions": [[0.000, 0.000, 0.000], [0.500, 0.500, 0.500], [0.750, 0.750, 0.750], [0.250, 0.250, 0.250]], "mass_density_kg_m3": 7228, "space_group": "No. 225"}

---

Stability check: which of them is most stable? #x.

---

#w
{"formula": "Ta2SnMo", "functional": "PBE", "state": "optimized geometry", "cell": [[-1.824, 2.494, 2.909], [-3.683, -1.646, -0.899], [0.601, -2.911, 2.872]], "species": ["Ta", "Ta", "Mo", "Sn"], "fractional_positions": [[0.000, 0.500, 0.000], [0.000, 0.000, 0.500], [0.500, 0.000, 0.000], [0.500, 0.500, 0.500]], "mass_density_kg_m3": 13207, "space_group": "No. 123"}

---

#x
{"formula": "Ta2SnMo", "functional": "PBE", "state": "optimized geometry", "cell": [[-1.969, -0.766, -2.770], [2.772, 0.383, -2.076], [1.317, -5.846, 0.680]], "species": ["Ta", "Ta", "Mo", "Sn"], "fractional_positions": [[0.000, 0.000, 0.235], [0.000, 0.000, 0.765], [0.500, 0.500, 0.000], [0.500, 0.500, 0.500]], "mass_density_kg_m3": 13079, "space_group": "No. 123"}

---

Stability check: which of them is most stable? #x.

---

#w
{"formula": "TaSn2Mo2", "functional": "PBE", "state": "optimized geometry", "cell": [[7.648, 0.000, 0.000], [0.000, 7.648, 0.000], [0.000, 0.000, 3.215]], "species": ["Ta", "Ta", "Sn", "Sn", "Sn", "Sn", "Mo", "Mo", "Mo", "Mo"], "fractional_positions": [[0.000, 0.000, 0.000], [0.500, 0.500, 0.000], [0.848, 0.652, 0.000], [0.152, 0.348, 0.000], [0.652, 0.152, 0.000], [0.348, 0.848, 0.000], [0.144, 0.644, 0.500], [0.856, 0.356, 0.500], [0.644, 0.856, 0.500], [0.356, 0.144, 0.500]], "mass_density_kg_m3": 10776, "space_group": "No. 127"}

---

#x
{"formula": "TaSn2Mo2", "functional": "PBE", "state": "optimized geometry", "cell": [[3.677, 0.000, 0.000], [0.000, 3.677, 0.000], [1.839, 1.839, 7.447]], "species": ["Sn", "Sn", "Ta", "Mo", "Mo"], "fractional_positions": [[0.399, 0.399, 0.202], [0.601, 0.601, 0.798], [0.000, 0.000, 0.000], [0.250, 0.750, 0.500], [0.750, 0.250, 0.500]], "mass_density_kg_m3": 10062, "space_group": "No. 139"}

---

Stability check: which of them is most stable? #w.

---

#w
{"formula": "TcSnMo", "functional": "PBE", "state": "optimized geometry", "cell": [[-4.052, 0.653, 4.366], [-2.236, -1.119, -1.908], [2.135, -5.554, 0.755]], "species": ["Sn", "Sn", "Tc", "Tc", "Mo", "Mo"], "fractional_positions": [[0.994, 0.000, 0.896], [0.087, 0.500, 0.434], [0.668, 0.500, 0.567], [0.676, 0.500, 0.079], [0.433, 0.000, 0.764], [0.422, 0.000, 0.254]], "mass_density_kg_m3": 9487, "space_group": "No. 6"}

---

#x
{"formula": "TcSnMo", "functional": "PBE", "state": "optimized geometry", "cell": [[-4.218, -1.259, -0.949], [1.562, -3.706, -2.029], [-0.284, -2.962, 5.191]], "species": ["Tc", "Tc", "Sn", "Sn", "Mo", "Mo"], "fractional_positions": [[0.000, 0.000, 0.500], [0.500, 0.500, 0.500], [0.000, 0.000, 0.000], [0.500, 0.500, 0.000], [0.000, 0.500, 0.303], [0.500, 0.000, 0.697]], "mass_density_kg_m3": 8555, "space_group": "No. 129"}

---

#y
{"formula": "TcSnMo", "functional": "PBE", "state": "optimized geometry", "cell": [[7.070, 0.000, -0.007], [0.000, 2.991, 0.000], [-3.613, 0.000, 9.841]], "species": ["Tc", "Tc", "Tc", "Tc", "Sn", "Sn", "Sn", "Sn", "Mo", "Mo", "Mo", "Mo"], "fractional_positions": [[0.138, 0.000, 0.800], [0.138, 0.500, 0.300], [0.449, 0.000, 0.469], [0.449, 0.500, 0.969], [0.515, 0.000, 0.753], [0.515, 0.500, 0.253], [0.815, 0.500, 0.599], [0.815, 0.000, 0.099], [0.198, 0.000, 0.051], [0.879, 0.000, 0.381], [0.198, 0.500, 0.551], [0.879, 0.500, 0.881]], "mass_density_kg_m3": 9980, "space_group": "No. 8"}

---

Stability check: which of them is most stable? #w.

---

#w
{"formula": "TcSnMo", "functional": "PBE", "state": "optimized geometry", "cell": [[-5.426, 2.829, 1.594], [-0.747, -2.388, 1.695], [7.421, 3.210, 7.794]], "species": ["Sn", "Sn", "Sn", "Sn", "Mo", "Mo", "Mo", "Mo", "Tc", "Tc", "Tc", "Tc"], "fractional_positions": [[0.168, 0.500, 0.100], [0.257, 0.000, 0.880], [0.257, 0.500, 0.380], [0.168, 0.000, 0.600], [0.591, 0.500, 0.049], [0.887, 0.000, 0.219], [0.591, 0.000, 0.549], [0.887, 0.500, 0.719], [0.539, 0.500, 0.766], [0.832, 0.500, 0.432], [0.539, 0.000, 0.266], [0.832, 0.000, 0.932]], "mass_density_kg_m3": 10032, "space_group": "No. 8"}

---

#x
{"formula": "TcSnMo", "functional": "PBE", "state": "optimized geometry", "cell": [[-0.171, 1.071, 2.975], [-3.070, -0.768, 0.100], [2.816, -4.711, 0.172]], "species": ["Mo", "Tc", "Sn"], "fractional_positions": [[0.324, 0.324, 0.647], [0.673, 0.673, 0.346], [0.003, 0.003, 0.006]], "mass_density_kg_m3": 10328, "space_group": "No. 107"}

---

Stability check: which of them is most stable? #x.